DFT (PBE) results for a relaxed structure of ZnGeSbPb2.

Computed properties:
- crystal system = tetragonal
- final energy (eV per atom) = -2.85
- magnetization (μB/f.u.) = 0.0
- E_form (uncorrected) (eV per atom) = 0.63

Lattice parameters (Å, degrees): 5.6965 5.6062 5.6965 90.00 90.00 90.00
With the nearest neighbours (Å) after each atom.
Element x y z (fractional)
Pb 0.0000 0.0000 0.5000  2 Zn 2.85
Pb 0.5000 0.0000 0.0000  2 Zn 2.85
Sb 0.0000 0.5000 0.0000  2 Zn 2.80
Ge 0.5000 0.5000 0.5000  8 Pb 4.00, 4 Sb 4.03
Zn 0.0000 0.0000 0.0000  2 Sb 2.80, 4 Pb 2.85